Record 1
SbH3Pt: relaxed, PBE-GGA.

For the electronic total energy, the calculation gives -15.39 eV per cell. For the energy above the most stable polymorph in this dataset, the calculation gives 579 meV per atom. The magnetization is 0.00 μB/f.u. The theoretical density comes out at 9.0 g/cm³.

Geometry as extended XYZ:
```
5
Lattice="3.890 0.000 0.000 0.000 3.890 0.000 0.000 0.000 3.890" Properties=species:S:1:pos:R:3 pbc="T T T"
Sb 0.000 0.000 0.000
H 0.000 0.000 1.945
H 0.000 1.945 0.000
H 1.945 0.000 0.000
Pt 1.945 1.945 1.945
```

---

Record 2
Ho3Er4Al: relaxed, PBE-GGA.

For the electronic total energy, the calculation gives -36.41 eV per cell. As for the calculated formation energy: -0.09 eV per atom. The magnetization is 0.00 μB/f.u. The theoretical density comes out at 8.5 g/cm³.

Geometry as extended XYZ:
```
8
Lattice="3.500 0.000 0.000 0.000 3.500 0.000 0.000 0.000 18.888" Properties=species:S:1:pos:R:3 pbc="T T T"
Ho 0.000 0.000 0.000
Ho 0.000 0.000 4.997
Ho 0.000 0.000 13.891
Er 1.750 1.750 2.512
Er 1.750 1.750 7.542
Er 1.750 1.750 11.346
Er 1.750 1.750 16.376
Al 0.000 0.000 9.444
```

---

Record 3
LiBe: relaxed, PBE-GGA.

For the electronic total energy, the calculation gives -10.38 eV per cell. As for the calculated formation energy: 0.23 eV per atom. For the energy above the most stable polymorph in this dataset, the calculation gives 96 meV per atom. The magnetization is 0.00 μB/f.u. The theoretical density comes out at 1.1 g/cm³.

Geometry as extended XYZ:
```
4
Lattice="2.268 0.000 0.000 -0.062 4.653 0.000 -1.009 -1.104 4.537" Properties=species:S:1:pos:R:3 pbc="T T T"
Li -0.009 1.248 0.874
Li 1.206 2.301 3.663
Be 0.069 -0.035 3.009
Be 1.128 3.583 1.528
```

---

Record 4
TiCoNi4: relaxed, PBE-GGA.

For the electronic total energy, the calculation gives -39.12 eV per cell. As for the calculated formation energy: -0.17 eV per atom. For the energy above the most stable polymorph in this dataset, the calculation gives 0 meV per atom. The magnetization is 2.37 μB/f.u. The theoretical density comes out at 8.0 g/cm³.

Geometry as extended XYZ:
```
6
Lattice="0.000 3.291 3.291 3.291 0.000 3.291 3.291 3.291 0.000" Properties=species:S:1:pos:R:3 pbc="T T T"
Ti 0.000 0.000 0.000
Co 4.937 4.937 4.937
Ni 2.472 2.472 2.472
Ni 4.110 4.110 2.472
Ni 4.110 2.472 4.110
Ni 2.472 4.110 4.110
```

---

Record 5
LiC5: relaxed, PBE-GGA.

For the electronic total energy, the calculation gives -30.55 eV per cell. As for the calculated formation energy: 2.91 eV per atom. For the energy above the most stable polymorph in this dataset, the calculation gives 2222 meV per atom. The magnetization is 0.01 μB/f.u. The theoretical density comes out at 2.2 g/cm³.

Geometry as extended XYZ:
```
6
Lattice="0.000 2.919 2.919 2.919 0.000 2.919 2.919 2.919 0.000" Properties=species:S:1:pos:R:3 pbc="T T T"
Li 0.000 0.000 0.000
C 2.012 2.012 2.012
C 3.825 3.825 2.012
C 3.825 2.012 3.825
C 4.378 4.378 4.378
C 2.012 3.825 3.825
```

---

Record 6
BaAs2Pd5: relaxed, PBE-GGA.

For the electronic total energy, the calculation gives -41.73 eV per cell. As for the calculated formation energy: -0.57 eV per atom. The magnetization is 0.00 μB/f.u. The theoretical density comes out at 8.8 g/cm³.

Geometry as extended XYZ:
```
8
Lattice="-2.116 3.634 5.042 2.116 -3.634 5.042 2.116 3.634 -5.042" Properties=species:S:1:pos:R:3 pbc="T T T"
Ba 0.000 0.000 0.000
As 2.116 0.000 2.620
As 0.000 3.634 2.422
Pd 2.116 2.253 -1.581
Pd 2.116 2.253 1.581
Pd 0.000 3.634 0.000
Pd 0.000 1.381 3.461
Pd 0.000 1.381 6.623
```

---

Record 7
CoPtSeN2: relaxed, PBE-GGA.

For the electronic total energy, the calculation gives -26.86 eV per cell. For the energy above the most stable polymorph in this dataset, the calculation gives 241 meV per atom. The magnetization is 2.40 μB/f.u. The theoretical density comes out at 5.4 g/cm³. As for the uncorrected formation energy: 1.284 eV/atom.

Geometry as extended XYZ:
```
5
Lattice="3.686 0.000 0.000 0.000 3.686 0.000 0.000 0.000 8.131" Properties=species:S:1:pos:R:3 pbc="T T T"
Co 0.000 0.000 0.000
Pt 1.843 1.843 4.066
Se 1.843 1.843 0.000
N 0.000 1.843 4.066
N 1.843 0.000 4.066
```

---

Record 8
SrPr2In2: relaxed, PBE-GGA.

For the electronic total energy, the calculation gives -18.60 eV per cell. As for the calculated formation energy: -0.38 eV per atom. The magnetization is 0.00 μB/f.u. The theoretical density comes out at 6.1 g/cm³.

Geometry as extended XYZ:
```
5
Lattice="5.372 -2.697 0.000 5.372 2.697 0.000 -4.716 0.000 5.622" Properties=species:S:1:pos:R:3 pbc="T T T"
Sr 0.000 0.000 0.000
Pr -1.142 0.000 3.883
Pr 7.170 0.000 1.739
In 3.847 0.000 1.600
In 2.181 0.000 4.023
```